(1)
TlAsHRu2 | PBE | relaxed

Values from the calculation:
As for the raw total energy: -4.356 eV per atom. The space group is No. 123. The calculation puts the density of states at the Fermi level at 4.7 states/eV/f.u. The total magnetization comes out at 0.3 μB per formula unit.

Cell and atoms, written as POSCAR:
```
TlAsHRu2
1.0
5.0445 0.0000 0.0000
0.0000 3.3467 0.0000
0.0000 0.0000 5.0445
As H Tl Ru
1 1 1 2
direct
0.5000 0.5000 0.5000 As
0.0000 0.5000 0.0000 H
0.0000 0.0000 0.0000 Tl
0.5000 0.0000 0.0000 Ru
0.0000 0.0000 0.5000 Ru
```


(2)
TmAsHRu | PBE | relaxed

Values from the calculation:
As for the raw total energy: -6.193 eV per atom. The space group is No. 129. The calculation puts the density of states at the Fermi level at 2.3 states/eV/f.u. The total magnetization comes out at 0.0 μB per formula unit.

Cell and atoms, written as POSCAR:
```
TmAsHRu
1.0
-1.6300 -1.2286 3.5453
1.5687 -3.7345 -0.5730
5.8518 1.9420 3.3634
H Ru As Tm
2 2 2 2
direct
0.5000 0.5000 0.5000 H
0.0000 0.0000 0.5000 H
0.5000 0.5000 0.0000 Ru
0.0000 0.0000 0.0000 Ru
0.5000 0.0000 0.1927 As
0.0000 0.5000 0.8073 As
0.5000 0.0000 0.6598 Tm
0.0000 0.5000 0.3402 Tm
```


Question: total magnetization of number 2 (TmAsHRu)?
Answer: 0.0 μB per formula unit